[1]
A relaxed VICl2 crystal, computed with GGA-PBE.

Polymorph energy (0 for the lowest one) ... 229 kJ/mol of formula units
E_tot ... -3.76 eV per atom
Uncorrected formation energy ... -171.1 meV per atom

a = 3.4183 Å, b = 3.4183 Å, c = 37.2732 Å
α = 90.00°, β = 90.00°, γ = 120.00°
Space group R-3m (No. 166, hexagonal axes)
Inequivalent atoms, fractional coordinates:
V (0.0000, 0.0000, 0.0000) (multiplicity 3)
I (0.0000, 0.0000, 0.5000) (multiplicity 3)
Cl (0.0000, 0.0000, 0.0575) (multiplicity 6)

[2]
A relaxed LaVN3 crystal, computed with GGA-PBE.

E_tot ... -8.71 eV per atom
Uncorrected formation energy ... -909.0 meV per atom

a = 3.3900 Å, b = 6.4091 Å, c = 6.5725 Å
α = 86.38°, β = 89.92°, γ = 89.98°
Space group P1 (No. 1)
Inequivalent atoms, fractional coordinates:
La (0.0000, 0.0000, 0.0000) (multiplicity 1)
La (0.0003, 0.4734, 0.3002) (multiplicity 1)
V (0.4994, 0.9696, 0.4422) (multiplicity 1)
V (0.5010, 0.4519, 0.8061) (multiplicity 1)
N (0.0020, 0.4161, 0.6836) (multiplicity 1)
N (0.5004, 0.3103, 0.0430) (multiplicity 1)
N (0.5001, 0.7616, 0.2782) (multiplicity 1)
N (0.4995, 0.8785, 0.7049) (multiplicity 1)
N (0.5007, 0.7347, 0.8575) (multiplicity 1)
N (0.9993, 0.0981, 0.3674) (multiplicity 1)

[3]
A relaxed SnB4F2 crystal, computed with GGA-PBE.

E_tot ... -4.08 eV per atom
Uncorrected formation energy ... 843.7 meV per atom

a = 4.5602 Å, b = 4.5602 Å, c = 15.5681 Å
α = 90.00°, β = 90.00°, γ = 90.00°
Space group I4/mmm (No. 139)
Inequivalent atoms, fractional coordinates:
Sn (0.0000, 0.0000, 0.0000) (multiplicity 2)
B (0.0000, 0.0000, 0.1546) (multiplicity 4)
B (0.0000, 0.5000, 0.0000) (multiplicity 4)
F (0.0000, 0.0000, 0.2373) (multiplicity 4)

[4]
A relaxed La14TbPm crystal, computed with GGA-PBE.

E_tot ... -4.82 eV per atom
ΔE_f ... 0.08 eV per atom

a = 11.9472 Å, b = 11.6466 Å, c = 8.3301 Å
α = 90.00°, β = 90.00°, γ = 90.00°
Space group Amm2 (No. 38)
Inequivalent atoms, fractional coordinates:
La (0.0000, 0.0000, 0.0000) (multiplicity 2)
La (0.0000, 0.0000, 0.4334) (multiplicity 2)
La (0.0000, 0.2126, 0.7350) (multiplicity 4)
La (0.2472, 0.2148, 0.0224) (multiplicity 8)
La (0.2513, 0.0000, 0.3097) (multiplicity 4)
La (0.2596, 0.0000, 0.7419) (multiplicity 4)
La (0.5000, 0.2251, 0.7402) (multiplicity 4)
Tb (0.5000, 0.0000, 0.0317) (multiplicity 2)
Pm (0.5000, 0.0000, 0.4589) (multiplicity 2)